No. 1
Here is MgOsRh2 at its PBEsol-relaxed geometry from Alexandria. Energies are from meta-GGA SCAN.

Cell and atoms, written as CIF:
```
data_MgOsRh2
_chemical_formula_sum 'Mg1 Os1 Rh2'
_cell_length_a 2.748
_cell_length_b 2.748
_cell_length_c 7.575
_cell_angle_alpha 90.00
_cell_angle_beta 90.00
_cell_angle_gamma 90.00
_symmetry_space_group_name_H-M 'P 4/m m m'
_symmetry_Int_Tables_number 123
_symmetry_space_group_name_Hall '-P 4 2'
loop_
_atom_site_label
_atom_site_fract_x
_atom_site_fract_y
_atom_site_fract_z
Mg1 0.000 0.000 0.000
Os1 0.000 0.000 0.500
Rh1 0.500 0.500 0.263
```

- energy (eV per atom) = -36.29
- total magnetic moment (μB/f.u.) = 0.00



No. 2
Here is SrMgTc2 at its PBEsol-relaxed geometry from Alexandria. Energies are from meta-GGA SCAN.

Cell and atoms, written as CIF:
```
data_SrMgTc2
_chemical_formula_sum 'Sr2 Mg2 Tc4'
_cell_length_a 3.293
_cell_length_b 4.590
_cell_length_c 9.731
_cell_angle_alpha 90.00
_cell_angle_beta 90.00
_cell_angle_gamma 90.00
_symmetry_space_group_name_H-M 'I m m m'
_symmetry_Int_Tables_number 71
_symmetry_space_group_name_Hall '-I 2 2'
loop_
_atom_site_label
_atom_site_fract_x
_atom_site_fract_y
_atom_site_fract_z
Sr1 0.000 0.000 0.000
Mg1 0.000 0.000 0.500
Tc1 0.000 0.500 0.241
```

- energy (eV per atom) = -23.42
- total magnetic moment (μB/f.u.) = 0.00



No. 3
Here is KOsCl2 at its PBEsol-relaxed geometry from Alexandria. Energies are from meta-GGA SCAN.

Cell and atoms, written as CIF:
```
data_KOsCl2
_chemical_formula_sum 'K2 Os2 Cl4'
_cell_length_a 3.699
_cell_length_b 6.073
_cell_length_c 7.288
_cell_angle_alpha 90.00
_cell_angle_beta 90.00
_cell_angle_gamma 90.00
_symmetry_space_group_name_H-M 'C m m m'
_symmetry_Int_Tables_number 65
_symmetry_space_group_name_Hall '-C 2 2'
loop_
_atom_site_label
_atom_site_fract_x
_atom_site_fract_y
_atom_site_fract_z
K1 0.000 0.000 0.000
Os1 0.000 0.000 0.500
Cl1 0.000 0.500 0.297
```

- excess energy over the best structure of this formula in the dataset (meV per atom) = 68
- energy (eV per atom) = -24.01
- total magnetic moment (μB/f.u.) = 0.00
- energy relative to the elements, uncorrected (eV per atom) = 0.03